A relaxed structure of KAgICl2. Source: Alexandria, functional PBE-GGA.

Summary:
The formation energy without anion corrections is -867 meV/atom. The calculation puts the density at 3715 kg/m³. The total energy comes out at -2.706 eV per atom.

a b c (Å): 5.211 5.211 5.676
angles (deg): 90.00 90.00 90.00
Sites, in units of the cell vectors:
1 K 0.000 0.000 0.000
2 Ag 0.500 0.500 0.500
3 I 0.500 0.500 0.000
4 Cl 0.000 0.500 0.500
5 Cl 0.500 0.000 0.500